w) Below is a relaxed structure of NpBiAs2, with properties calculated at the PBE level.

POSCAR file:
```
NpBiAs2
1.0
-2.472 -0.563 2.886
3.224 -2.988 2.178
1.925 3.824 2.396
Np As Bi
1 2 1
direct
0.500 0.500 0.500
0.000 0.000 0.500
0.000 0.500 0.000
0.500 0.000 0.000
```

x) Below is a relaxed structure of NpBiAs2, with properties calculated at the PBE level.

POSCAR file:
```
NpBiAs2
1.0
4.058 0.000 0.000
2.029 3.514 0.000
2.029 1.171 7.382
Np Bi As
1 1 2
direct
0.499 0.499 0.504
0.666 0.666 0.002
0.087 0.087 0.739
0.248 0.248 0.255
```

y) Below is a relaxed structure of NpBiAs2, with properties calculated at the PBE level.

POSCAR file:
```
NpBiAs2
1.0
-1.578 -3.437 1.392
1.896 -3.496 -0.649
4.546 -1.301 7.778
Np As Bi
1 2 1
direct
0.500 0.500 0.500
0.108 0.108 0.677
0.892 0.892 0.323
0.000 0.000 0.000
```

The most stable of them is w).

w) Below is a relaxed structure of Bi2AsO, with properties calculated at the PBE level.

POSCAR file:
```
Bi2AsO
1.0
-2.014 3.227 4.751
-5.728 -1.496 -1.413
-3.456 -4.036 5.175
As Bi O
2 4 2
direct
0.000 0.000 0.000
0.750 0.250 0.500
0.554 0.125 0.250
0.196 0.625 0.250
0.375 0.446 0.750
0.875 0.804 0.750
0.500 0.500 0.000
0.250 0.750 0.500
```

x) Below is a relaxed structure of Bi2AsO, with properties calculated at the PBE level.

POSCAR file:
```
Bi2AsO
1.0
-0.893 -4.602 1.458
-4.525 -1.300 1.390
-2.670 -2.996 -2.826
As Bi O
1 2 1
direct
0.500 0.500 0.500
0.250 0.250 0.250
0.750 0.750 0.750
0.000 0.000 0.000
```

The most stable of them is w).